The following is a DFT calculation (PBE-GGA) of CaZrNiIr after structural relaxation.

a = 4.690 Å, b = 4.690 Å, c = 4.690 Å
α = 60.00°, β = 60.00°, γ = 60.00°
Atoms (fractional coordinates):
1 Ca 0.000 0.000 0.000
2 Ni 0.750 0.750 0.750
3 Ir 0.250 0.250 0.250
4 Zr 0.500 0.500 0.500

## Properties
- raw total energy (eV/atom) = -6.65
- formation energy (eV per atom) = -0.352